Entry 1:
Below is a relaxed Cr2Si6W crystal, with properties calculated at the GGA-PBE level.

a = 4.5126 Å, b = 7.7637 Å, c = 6.4510 Å
α = 90.00°, β = 90.00°, γ = 90.00°
With the nearest neighbours (Å) after each atom.
Space group C222 (No. 21)
Unique sites:
Cr 0.2500 0.2500 0.1647 [4 per cell]  10 Si 2.46-2.62
Si 0.0000 0.3333 0.5000 [4 per cell]  2 Cr 2.52, 5 Si 2.53-2.60, 3 W 2.59-2.60
Si 0.2434 0.4153 0.8398 [8 per cell]  5 Si 2.45-2.66, 4 Cr 2.46-2.62, 1 W 2.56
W 0.0000 0.0000 0.5000 [2 per cell]  10 Si 2.56-2.60

Computed properties:
calculated density	6.7	Mg/m³
E_form (uncorrected)	-324.8	meV/atom
uncorrected energy	-7.5179	eV per atom

---

Entry 2:
Below is a relaxed BeMoIr2 crystal, with properties calculated at the GGA-PBE level.

a = 2.8494 Å, b = 4.3511 Å, c = 8.5824 Å
α = 90.00°, β = 90.00°, γ = 90.00°
With the nearest neighbours (Å) after each atom.
Space group Imm2 (No. 44)
Unique sites:
Be 0.0000 0.0000 0.0000 [2 per cell]  2 Ir 2.27, 2 Mo 2.47
Mo 0.0000 0.5000 0.2652 [2 per cell]  2 Be 2.47, 4 Ir 2.65
Ir 0.0000 0.0000 0.4888 [2 per cell]  4 Be 2.60, 4 Mo 2.77-2.90, 6 Ir 2.81-2.87
Ir 0.0000 0.5000 0.7061 [2 per cell]  2 Be 2.27

Computed properties:
calculated density	15.3	Mg/m³
DFT formation energy	-80	kJ/mol of formula units
uncorrected energy	-8.2770	eV per atom

---

Entry 3:
Below is a relaxed SiHSe2N crystal, with properties calculated at the GGA-PBE level.

a = 5.1978 Å, b = 5.1978 Å, c = 3.2083 Å
α = 90.00°, β = 90.00°, γ = 90.00°
With the nearest neighbours (Å) after each atom.
Space group P4/mmm (No. 123)
Unique sites:
Si 0.0000 0.0000 0.0000 [1 per cell]  2 N 1.60
H 0.5000 0.5000 0.5000 [1 per cell]  8 Se 3.05, 2 H 3.21
Se 0.0000 0.5000 0.0000 [2 per cell]  2 Si 2.60
N 0.0000 0.0000 0.5000 [1 per cell]  2 Si 1.60

Computed properties:
E above lowest polymorph	0	meV per atom
calculated density	3.9	Mg/m³
uncorrected energy	-4.0112	eV per atom

---

Entry 4:
Below is a relaxed BaCa2CdHg4 crystal, with properties calculated at the GGA-PBE level.

a = 5.2866 Å, b = 5.2866 Å, c = 29.8871 Å
α = 90.00°, β = 90.00°, γ = 120.00°
With the nearest neighbours (Å) after each atom.
Space group R-3m (No. 166, hexagonal axes)
Unique sites:
Ba 0.0000 0.0000 0.0000 [3 per cell]  8 Hg 3.55-3.61
Ca 0.0000 0.0000 0.2282 [6 per cell]  7 Hg 3.09-3.33
Cd 0.0000 0.0000 0.5000 [3 per cell]  8 Hg 3.16-3.35
Hg 0.0000 0.0000 0.1207 [6 per cell]  4 Ca 3.09-3.21, 3 Cd 3.35
Hg 0.0000 0.0000 0.3943 [6 per cell]  1 Cd 3.16, 3 Ca 3.33, 3 Hg 3.54

Computed properties:
calculated density	7.8	Mg/m³
DFT formation energy	-332	kJ/mol of formula units
uncorrected energy	-1.4357	eV per atom

---

Entry 5:
Below is a relaxed Ca5NdIn3 crystal, with properties calculated at the GGA-PBE level.

a = 9.5864 Å, b = 9.5864 Å, c = 7.1799 Å
α = 90.00°, β = 90.00°, γ = 120.00°
With the nearest neighbours (Å) after each atom.
Space group P6_3/mcm (No. 193)
Unique sites:
Ca 0.0000 0.3406 0.2500 [6 per cell]  3 In 3.18-3.24
Ca 0.3333 0.6667 0.0000 [4 per cell]  8 Ca 3.59-3.64, 6 In 3.71
Nd 0.0000 0.0000 0.0000 [2 per cell]  6 In 3.57, 2 Nd 3.59, 6 Ca 3.73
In 0.0000 0.3217 0.7500 [6 per cell]  3 Ca 3.18-3.24

Computed properties:
calculated density	4.0	Mg/m³
DFT formation energy	-295	kJ/mol of formula units
uncorrected energy	-2.8937	eV per atom

---

Entry 6:
Below is a relaxed LaTeIr2 crystal, with properties calculated at the GGA-PBE level.

a = 4.4691 Å, b = 4.4691 Å, c = 16.3608 Å
α = 90.00°, β = 90.00°, γ = 120.00°
With the nearest neighbours (Å) after each atom.
Space group R3m (No. 160, hexagonal axes)
Unique sites:
La 0.0000 0.0000 0.0000 [3 per cell]  7 Ir 3.20-3.57, 4 Te 3.23-3.41
Te 0.0000 0.0000 0.8028 [3 per cell]  6 Ir 2.89-2.91, 1 La 3.23
Ir 0.0000 0.0000 0.2179 [3 per cell]  3 Ir 2.58
Ir 0.0000 0.0000 0.5492 [3 per cell]  3 Ir 2.58

Computed properties:
calculated density	11.5	Mg/m³
E_form (uncorrected)	-405.2	meV/atom
uncorrected energy	-6.8530	eV per atom

---

Entry 7:
Below is a relaxed RbIn3I8 crystal, with properties calculated at the GGA-PBE level.

a = 8.7799 Å, b = 8.7799 Å, c = 10.7417 Å
α = 90.00°, β = 90.00°, γ = 120.00°
With the nearest neighbours (Å) after each atom.
Space group P-3m1 (No. 164)
Unique sites:
Rb 0.0000 0.0000 0.0000 [1 per cell]  6 I 3.88
In 0.0000 0.0000 0.5000 [1 per cell]  6 I 3.41
In 0.3333 0.6667 0.8104 [2 per cell]  4 I 2.72-2.78
I 0.1615 0.3231 0.7207 [6 per cell]  1 In 2.78
I 0.3333 0.6667 0.0635 [2 per cell]  1 In 2.72

Computed properties:
calculated density	3.3	Mg/m³
E_form (uncorrected)	-657.1	meV/atom
uncorrected energy	-2.4558	eV per atom

---

Entry 8:
Below is a relaxed PbAuSe2 crystal, with properties calculated at the GGA-PBE level.

a = 4.0495 Å, b = 4.0495 Å, c = 6.0805 Å
α = 90.00°, β = 90.00°, γ = 90.00°
With the nearest neighbours (Å) after each atom.
Space group P4/mmm (No. 123)
Unique sites:
Pb 0.0000 0.0000 0.0000 [1 per cell]  4 Au 2.86
Au 0.5000 0.5000 0.0000 [1 per cell]  4 Pb 2.86
Se 0.0000 0.5000 0.5000 [2 per cell]  4 Se 2.86

Computed properties:
calculated density	9.4	Mg/m³
E_form (uncorrected)	173.9	meV/atom
uncorrected energy	-3.3148	eV per atom

---

Entry 9:
Below is a relaxed BOs3 crystal, with properties calculated at the GGA-PBE level.

a = 5.4513 Å, b = 5.4513 Å, c = 4.0409 Å
α = 90.00°, β = 90.00°, γ = 120.00°
With the nearest neighbours (Å) after each atom.
Space group P6_3/mmc (No. 194)
Unique sites:
B 0.3333 0.6667 0.2500 [2 per cell]  12 Os 2.51-2.73
Os 0.1748 0.3496 0.7500 [6 per cell]  4 B 2.51-2.73, 6 Os 2.59-2.61

Computed properties:
calculated density	18.6	Mg/m³
DFT formation energy	299	kJ/mol of formula units
uncorrected energy	-9.3159	eV per atom

---

Entry 10:
Below is a relaxed TcHgAs2N crystal, with properties calculated at the GGA-PBE level.

a = 4.7160 Å, b = 4.7160 Å, c = 3.8624 Å
α = 90.00°, β = 90.00°, γ = 90.00°
With the nearest neighbours (Å) after each atom.
Space group P4/mmm (No. 123)
Unique sites:
Tc 0.0000 0.0000 0.0000 [1 per cell]  2 N 1.93
Hg 0.5000 0.5000 0.0000 [1 per cell]  8 As 3.05, 4 Tc 3.33
As 0.0000 0.5000 0.5000 [2 per cell]  2 N 2.36
N 0.0000 0.0000 0.5000 [1 per cell]  2 Tc 1.93

Computed properties:
calculated density	8.9	Mg/m³
E_form (uncorrected)	685.0	meV/atom
uncorrected energy	-4.9734	eV per atom

---

Entry 11:
Below is a relaxed Ac8Ru3Cl4F crystal, with properties calculated at the GGA-PBE level.

a = 8.4868 Å, b = 8.4868 Å, c = 24.1812 Å
α = 90.00°, β = 90.00°, γ = 120.00°
With the nearest neighbours (Å) after each atom.
Space group R-3m (No. 166, hexagonal axes)
Unique sites:
Ac 0.0000 0.0000 0.2353 [6 per cell]  3 Ru 2.96
Ac 0.0066 0.5033 0.7661 [18 per cell]  2 Ru 2.92, 1 F 2.98
Ru 0.0000 0.5000 0.5000 [9 per cell]  6 Ac 2.92-2.96
Cl 0.0000 0.0000 0.0000 [3 per cell]  6 Ac 3.40
Cl 0.0000 0.5000 0.0000 [9 per cell]  6 Ac 3.41-3.45
F 0.0000 0.0000 0.5000 [3 per cell]  6 Ac 2.98

Computed properties:
calculated density	7.5	Mg/m³
E_form (uncorrected)	-1198.1	meV/atom
uncorrected energy	-5.5701	eV per atom

---

Entry 12:
Below is a relaxed La2Ce3SmAs6 crystal, with properties calculated at the GGA-PBE level.

a = 7.3955 Å, b = 12.8097 Å, c = 7.4014 Å
α = 90.00°, β = 109.47°, γ = 90.00°
With the nearest neighbours (Å) after each atom.
Space group C2/m (No. 12)
Unique sites:
La 0.0000 0.1663 0.0000 [4 per cell]  6 As 3.06-3.07
Ce 0.0000 0.0000 0.5000 [2 per cell]  6 As 2.98-3.01
Ce 0.0000 0.3325 0.5000 [4 per cell]  6 As 2.98-3.01
Sm 0.0000 0.5000 0.0000 [2 per cell]  6 As 3.02-3.03
As 0.2426 0.5000 0.7415 [4 per cell]  3 Ce 2.98-3.01, 1 Sm 3.03, 2 La 3.06
As 0.2498 0.1645 0.7426 [8 per cell]  3 Ce 2.98-3.01, 1 Sm 3.02, 2 La 3.06-3.07

Computed properties:
calculated density	6.5	Mg/m³
DFT formation energy	-1726	kJ/mol of formula units
uncorrected energy	-6.5132	eV per atom

---

Entry 13:
Below is a relaxed Cr3InRh crystal, with properties calculated at the GGA-PBE level.

a = 4.7579 Å, b = 4.7579 Å, c = 4.7579 Å
α = 90.00°, β = 90.00°, γ = 90.00°
With the nearest neighbours (Å) after each atom.
Space group Pm-3m (No. 221)
Unique sites:
Cr 0.0000 0.0000 0.5000 [3 per cell]  2 Rh 2.38
In 0.5000 0.5000 0.5000 [1 per cell]  12 Cr 3.36
Rh 0.0000 0.0000 0.0000 [1 per cell]  6 Cr 2.38

Computed properties:
E above lowest polymorph	0	meV per atom
calculated density	5.8	Mg/m³
DFT formation energy	518	kJ/mol of formula units
uncorrected energy	-6.7184	eV per atom

---

Entry 14:
Below is a relaxed Nd6AgAu5 crystal, with properties calculated at the GGA-PBE level.

a = 16.6869 Å, b = 7.3945 Å, c = 5.2793 Å
α = 90.00°, β = 108.24°, γ = 90.00°
With the nearest neighbours (Å) after each atom.
Space group C2/m (No. 12)
Unique sites:
Nd 0.0000 0.2455 0.0000 [4 per cell]  6 Au 3.15-3.22, 2 Ag 3.24
Nd 0.1685 0.2480 0.6684 [8 per cell]  7 Au 3.20-3.29, 1 Ag 3.26
Ag 0.0000 0.5000 0.5000 [2 per cell]  8 Nd 3.24-3.26
Au 0.0000 0.0000 0.5000 [2 per cell]  8 Nd 3.20-3.24
Au 0.1594 0.5000 0.1597 [4 per cell]  8 Nd 3.15-3.29
Au 0.1675 0.0000 0.1670 [4 per cell]  8 Nd 3.20-3.22

Computed properties:
calculated density	10.5	Mg/m³
DFT formation energy	-791	kJ/mol of formula units
uncorrected energy	-4.6701	eV per atom

---

Entry 15:
Below is a relaxed La2NiRhC crystal, with properties calculated at the GGA-PBE level.

a = 5.2782 Å, b = 5.2782 Å, c = 3.6209 Å
α = 90.00°, β = 90.00°, γ = 90.00°
With the nearest neighbours (Å) after each atom.
Space group P4/mmm (No. 123)
Unique sites:
La 0.0000 0.5000 0.0000 [2 per cell]  2 C 2.64
Ni 0.0000 0.0000 0.5000 [1 per cell]  2 C 1.81
Rh 0.5000 0.5000 0.5000 [1 per cell]  8 La 3.20
C 0.0000 0.0000 0.0000 [1 per cell]  2 Ni 1.81

Computed properties:
E above lowest polymorph	0	meV per atom
calculated density	7.4	Mg/m³
DFT formation energy	-169	kJ/mol of formula units
uncorrected energy	-6.7933	eV per atom

---

Entry 16:
Below is a relaxed Hf2CuF8 crystal, with properties calculated at the GGA-PBE level.

a = 13.3066 Å, b = 6.6126 Å, c = 4.0693 Å
α = 90.00°, β = 90.72°, γ = 90.00°
With the nearest neighbours (Å) after each atom.
Space group C2/m (No. 12)
Unique sites:
Hf 0.2084 0.0000 0.4427 [4 per cell]  5 F 1.89-2.09
Cu 0.0000 0.5000 0.0000 [2 per cell]  10 F 3.14-3.51
F 0.0762 0.0000 0.2672 [4 per cell]  1 Hf 1.89
F 0.1679 0.2936 0.5818 [8 per cell]  2 Hf 2.09-2.14
F 0.2414 0.0000 0.9455 [4 per cell]  2 Hf 2.08-2.09

Computed properties:
calculated density	5.3	Mg/m³
E_form (uncorrected)	-3086.6	meV/atom
uncorrected energy	-6.6296	eV per atom

---

Entry 17:
Below is a relaxed NaY6Se8 crystal, with properties calculated at the GGA-PBE level.

a = 11.5220 Å, b = 11.5220 Å, c = 11.5220 Å
α = 90.00°, β = 90.00°, γ = 90.00°
With the nearest neighbours (Å) after each atom.
Space group Fm-3m (No. 225)
Unique sites:
Na 0.0000 0.0000 0.0000 [4 per cell]  6 Se 2.93
Y 0.0000 0.2500 0.2500 [24 per cell]  6 Se 2.88
Se 0.0000 0.0000 0.2545 [24 per cell]  4 Y 2.88, 1 Na 2.93
Se 0.2500 0.2500 0.2500 [8 per cell]  6 Y 2.88

Computed properties:
E above lowest polymorph	0	meV per atom
calculated density	5.2	Mg/m³
E_form (uncorrected)	-1789.4	meV/atom
uncorrected energy	-6.3214	eV per atom

---

Entry 18:
Below is a relaxed Pm2CuH crystal, with properties calculated at the GGA-PBE level.

a = 3.8968 Å, b = 3.8968 Å, c = 19.4759 Å
α = 90.00°, β = 90.00°, γ = 120.00°
With the nearest neighbours (Å) after each atom.
Space group R-3m (No. 166, hexagonal axes)
Unique sites:
Pm 0.0000 0.0000 0.2387 [6 per cell]  3 H 2.65, 3 Cu 2.91
Cu 0.0000 0.0000 0.0000 [3 per cell]  6 Pm 2.91
H 0.0000 0.0000 0.5000 [3 per cell]  6 Pm 2.65

Computed properties:
E above lowest polymorph	0	meV per atom
calculated density	6.9	Mg/m³
uncorrected energy	-4.3653	eV per atom

---

Entry 19:
Below is a relaxed Cs2CrInBr6 crystal, with properties calculated at the GGA-PBE level.

a = 11.3004 Å, b = 11.3004 Å, c = 11.3004 Å
α = 90.00°, β = 90.00°, γ = 90.00°
With the nearest neighbours (Å) after each atom.
Space group Fm-3m (No. 225)
Unique sites:
Cs 0.2500 0.2500 0.2500 [8 per cell]  12 Br 4.00
Cr 0.0000 0.0000 0.0000 [4 per cell]  6 Br 2.55
In 0.0000 0.0000 0.5000 [4 per cell]  6 Br 3.10
Br 0.0000 0.0000 0.2260 [24 per cell]  1 Cr 2.55

Computed properties:
calculated density	4.2	Mg/m³
E_form (uncorrected)	-1189.4	meV/atom
uncorrected energy	-3.6000	eV per atom

---

Entry 20:
Below is a relaxed RbHgMo2 crystal, with properties calculated at the GGA-PBE level.

a = 4.5231 Å, b = 4.5231 Å, c = 21.4585 Å
α = 90.00°, β = 90.00°, γ = 90.00°
With the nearest neighbours (Å) after each atom.
Space group I-42d (No. 122)
Unique sites:
Rb 0.0000 0.0000 0.0000 [4 per cell]  4 Hg 3.20, 4 Mo 3.47
Hg 0.0000 0.0000 0.5000 [4 per cell]  4 Mo 2.93, 4 Rb 3.20
Mo 0.0822 0.7500 0.6250 [8 per cell]  2 Mo 2.38

Computed properties:
calculated density	7.2	Mg/m³
DFT formation energy	541	kJ/mol of formula units
uncorrected energy	-4.3317	eV per atom

---

Entry 21:
Below is a relaxed MgScP crystal, with properties calculated at the GGA-PBE level.

a = 4.4682 Å, b = 4.4682 Å, c = 20.6286 Å
α = 90.00°, β = 90.00°, γ = 120.00°
With the nearest neighbours (Å) after each atom.
Space group R-3m (No. 166, hexagonal axes)
Unique sites:
Mg 0.0000 0.0000 0.1309 [6 per cell]  4 P 2.60-2.81
Sc 0.0000 0.0000 0.3838 [6 per cell]  4 P 2.62-2.63
P 0.0000 0.0000 0.2571 [6 per cell]  4 Mg 2.60-2.81, 4 Sc 2.62-2.63

Computed properties:
calculated density	2.8	Mg/m³
DFT formation energy	-165	kJ/mol of formula units
uncorrected energy	-5.0141	eV per atom

---

Entry 22:
Below is a relaxed GaSn3Mo crystal, with properties calculated at the GGA-PBE level.

a = 5.2740 Å, b = 5.2740 Å, c = 5.2740 Å
α = 90.00°, β = 90.00°, γ = 90.00°
With the nearest neighbours (Å) after each atom.
Space group Pm-3m (No. 221)
Unique sites:
Ga 0.0000 0.0000 0.0000 [1 per cell]  12 Sn 3.73
Sn 0.0000 0.5000 0.5000 [3 per cell]  2 Mo 2.64
Mo 0.5000 0.5000 0.5000 [1 per cell]  6 Sn 2.64

Computed properties:
E above lowest polymorph	0	meV per atom
calculated density	5.9	Mg/m³
DFT formation energy	175	kJ/mol of formula units
uncorrected energy	-4.8099	eV per atom

---

Entry 23:
Below is a relaxed KP2CS crystal, with properties calculated at the GGA-PBE level.

a = 5.3325 Å, b = 5.3325 Å, c = 5.2834 Å
α = 90.00°, β = 90.00°, γ = 90.00°
With the nearest neighbours (Å) after each atom.
Space group P4/mmm (No. 123)
Unique sites:
K 0.0000 0.0000 0.0000 [1 per cell]  2 S 2.64, 4 P 2.67
P 0.0000 0.5000 0.0000 [2 per cell]  2 K 2.67
C 0.5000 0.5000 0.5000 [1 per cell]  8 P 3.75, 4 S 3.77
S 0.0000 0.0000 0.5000 [1 per cell]  2 K 2.64

Computed properties:
E above lowest polymorph	2205	meV per atom
calculated density	1.6	Mg/m³
E_form (uncorrected)	3207.5	meV/atom
uncorrected energy	-1.8462	eV per atom

---

Entry 24:
Below is a relaxed Nd3YTm4 crystal, with properties calculated at the GGA-PBE level.

a = 3.4724 Å, b = 11.6353 Å, c = 12.9990 Å
α = 90.00°, β = 90.00°, γ = 90.00°
With the nearest neighbours (Å) after each atom.
Space group Immm (No. 71)
Unique sites:
Nd 0.0000 0.0000 0.0000 [2 per cell]  6 Nd 3.47-3.74, 8 Tm 3.86
Nd 0.0000 0.5000 0.2450 [4 per cell]  6 Tm 3.35-3.63, 4 Nd 3.47-3.74, 2 Y 3.63
Y 0.0000 0.0000 0.5000 [2 per cell]  4 Tm 3.35, 2 Y 3.47, 4 Nd 3.63
Tm 0.0000 0.2451 0.3645 [8 per cell]  3 Nd 3.35-3.63, 1 Y 3.35, 5 Tm 3.45-3.52

Computed properties:
E above lowest polymorph	119	meV per atom
calculated density	7.6	Mg/m³
DFT formation energy	108	kJ/mol of formula units
uncorrected energy	-4.6917	eV per atom